First-principles (PBE) data for NiRu2C after structural relaxation, as listed in the Alexandria database.

Cell lengths 6.4397, 6.4397, 5.1033 Å; angles 50.88, 50.88, 90.00 degrees
Positions (direct):
1 Ni 0.0000 0.0000 0.0000
2 Ni 0.7500 0.2500 0.5000
3 Ru 0.8750 0.7842 0.7500
4 Ru 0.5342 0.1250 0.2500
5 Ru 0.3750 0.4658 0.7500
6 Ru 0.2158 0.6250 0.2500
7 C 0.2500 0.7500 0.5000
8 C 0.5000 0.5000 0.0000

Summary:
**Fermi-level density of states**: 3.8 states/eV/f.u.
**Crystal system**: tetragonal
**Total magnetization**: 0.000 μB/atom
**Space-group type**: I-42d (122)
**Energy relative to the elements**: 0.43 eV per atom
**Electronic total energy**: -63.69 eV/cell

First-principles (PBE) data for Ni2RuC after structural relaxation, as listed in the Alexandria database.

Cell lengths 4.3253, 4.3253, 6.3555 Å; angles 70.11, 70.11, 90.00 degrees
Positions (direct):
1 Ni 0.2474 0.6250 0.2500
2 Ni 0.5026 0.1250 0.2500
3 Ni 0.3750 0.4974 0.7500
4 Ni 0.8750 0.7526 0.7500
5 C 0.2500 0.7500 0.5000
6 C 0.5000 0.5000 0.0000
7 Ru 0.0000 0.0000 0.0000
8 Ru 0.7500 0.2500 0.5000

Summary:
**Fermi-level density of states**: 3.3 states/eV/f.u.
**Crystal system**: tetragonal
**Total magnetization**: 0.490 μB/atom
**Space-group type**: I-42d (122)
**Energy relative to the elements**: 1.04 eV per atom
**Electronic total energy**: -51.77 eV/cell

First-principles (PBE) data for ScNi2RuC after structural relaxation, as listed in the Alexandria database.

Cell lengths 3.8899, 3.8899, 4.0483 Å; angles 90.00, 90.00, 90.00 degrees
Positions (direct):
1 Ni 0.5000 0.0000 0.0000
2 Ni 0.0000 0.5000 0.0000
3 Sc 0.5000 0.5000 0.5000
4 Ru 0.0000 0.0000 0.5000
5 C 0.0000 0.0000 0.0000

Summary:
**Fermi-level density of states**: 2.5 states/eV/f.u.
**Crystal system**: tetragonal
**Total magnetization**: 0.000 μB/atom
**Space-group type**: P4/mmm (123)
**Energy relative to the elements**: -0.29 eV per atom
**Electronic total energy**: -37.84 eV/cell